CdCoW4N2 | the Open Quantum Materials Database | PBE-GGA | optimized geometry; M_tot = 0.94 μB/f.u.
1.0
2.832 0.000 0.000
-1.416 2.452 0.000
0.000 0.000 15.041
Cd Co W N
1 1 4 2
direct
0.000 0.000 0.000 Cd
0.333 0.667 0.500 Co
0.000 0.000 0.361 W
0.000 0.000 0.639 W
0.333 0.667 0.168 W
0.333 0.667 0.832 W
0.667 0.333 0.263 N
0.667 0.333 0.737 N

Y4CdCoN2 | the Open Quantum Materials Database | PBE-GGA | optimized geometry; M_tot = 0.36 μB/f.u.
1.0
3.493 0.000 0.000
-1.747 3.025 0.000
0.000 0.000 14.879
Y Cd Co N
4 1 1 2
direct
0.000 0.000 0.132 Y
0.000 0.000 0.868 Y
0.667 0.333 0.319 Y
0.667 0.333 0.681 Y
0.000 0.000 0.500 Cd
0.667 0.333 0.000 Co
0.333 0.667 0.236 N
0.333 0.667 0.764 N

Zr4CdCoN2 | the Open Quantum Materials Database | PBE-GGA | optimized geometry; M_tot = 0.40 μB/f.u.
1.0
3.261 0.000 0.000
-1.630 2.824 0.000
0.000 0.000 14.020
Zr Cd Co N
4 1 1 2
direct
0.000 0.000 0.136 Zr
0.000 0.000 0.864 Zr
0.667 0.333 0.321 Zr
0.667 0.333 0.679 Zr
0.000 0.000 0.500 Cd
0.667 0.333 0.000 Co
0.333 0.667 0.232 N
0.333 0.667 0.768 N

NaCdCoTe | the Open Quantum Materials Database | PBE-GGA | optimized geometry; offset from the most stable computed form = 0.0 meV/atom; M_tot = 0.91 μB/f.u.
1.0
0.000 3.403 3.403
3.403 0.000 3.403
3.403 3.403 0.000
Na Cd Co Te
1 1 1 1
direct
0.000 0.000 0.000 Na
0.750 0.750 0.750 Cd
0.500 0.500 0.500 Co
0.250 0.250 0.250 Te

NaCdCoTe | the Open Quantum Materials Database | PBE-GGA | optimized geometry; offset from the most stable computed form = 190.4 meV/atom; M_tot = 2.00 μB/f.u.
1.0
0.000 3.558 3.558
3.558 0.000 3.558
3.558 3.558 0.000
Na Cd Co Te
1 1 1 1
direct
0.000 0.000 0.000 Na
0.500 0.500 0.500 Cd
0.750 0.750 0.750 Co
0.250 0.250 0.250 Te

NbCdCo | the Open Quantum Materials Database | PBE-GGA | optimized geometry; offset from the most stable computed form = 0.0 meV/atom; M_tot = 0.64 μB/f.u.
1.0
0.000 3.075 3.075
3.075 0.000 3.075
3.075 3.075 0.000
Nb Cd Co
1 1 1
direct
0.000 0.000 0.000 Nb
0.250 0.250 0.250 Cd
0.750 0.750 0.750 Co

NbCdCo | the Open Quantum Materials Database | PBE-GGA | optimized geometry; offset from the most stable computed form = 162.5 meV/atom; M_tot = 1.84 μB/f.u.
1.0
0.000 3.046 3.046
3.046 0.000 3.046
3.046 3.046 0.000
Nb Cd Co
1 1 1
direct
0.000 0.000 0.000 Nb
0.750 0.750 0.750 Cd
0.500 0.500 0.500 Co

Nb2CdCo | the Open Quantum Materials Database | PBE-GGA | optimized geometry; M_tot = 2.86 μB/f.u.
1.0
0.000 3.233 3.233
3.233 0.000 3.233
3.233 3.233 0.000
Nb Cd Co
2 1 1
direct
0.000 0.000 0.000 Nb
0.250 0.250 0.250 Nb
0.500 0.500 0.500 Cd
0.750 0.750 0.750 Co

NbCdCoPb | the Open Quantum Materials Database | PBE-GGA | optimized geometry; offset from the most stable computed form = 11.4 meV/atom; M_tot = 0.02 μB/f.u.
1.0
0.000 3.354 3.354
3.354 0.000 3.354
3.354 3.354 0.000
Nb Cd Co Pb
1 1 1 1
direct
0.000 0.000 0.000 Nb
0.250 0.250 0.250 Cd
0.750 0.750 0.750 Co
0.500 0.500 0.500 Pb

NbCdCoPb | the Open Quantum Materials Database | PBE-GGA | optimized geometry; offset from the most stable computed form = 0.0 meV/atom; M_tot = 0.06 μB/f.u.
1.0
0.000 3.328 3.328
3.328 0.000 3.328
3.328 3.328 0.000
Nb Cd Co Pb
1 1 1 1
direct
0.000 0.000 0.000 Nb
0.750 0.750 0.750 Cd
0.500 0.500 0.500 Co
0.250 0.250 0.250 Pb

NbCdCoSb | the Open Quantum Materials Database | PBE-GGA | optimized geometry; offset from the most stable computed form = 0.0 meV/atom; M_tot = 0.29 μB/f.u.
1.0
0.000 3.284 3.284
3.284 0.000 3.284
3.284 3.284 0.000
Nb Cd Co Sb
1 1 1 1
direct
0.000 0.000 0.000 Nb
0.750 0.750 0.750 Cd
0.500 0.500 0.500 Co
0.250 0.250 0.250 Sb

NbCdCoSi | the Open Quantum Materials Database | PBE-GGA | optimized geometry; offset from the most stable computed form = 0.0 meV/atom; M_tot = 1.14 μB/f.u.
1.0
0.000 3.126 3.126
3.126 0.000 3.126
3.126 3.126 0.000
Nb Cd Co Si
1 1 1 1
direct
0.000 0.000 0.000 Nb
0.750 0.750 0.750 Cd
0.500 0.500 0.500 Co
0.250 0.250 0.250 Si

no.,electronic total energy (eV/cell)
1,-74.87
2,-56.68
3,-65.62
4,-11.69
5,-10.93
6,-15.25
7,-14.76
8,-26.61
9,-19.28
10,-19.32
11,-20.74
12,-22.49